# Tb2Er2In | the Open Quantum Materials Database | PBE | optimized geometry
# total DFT energy (no corrections): -4.23 eV/atom
data_Tb2Er2In
_chemical_formula_sum 'Tb4 Er4 In2'
_symmetry_space_group_name_H-M 'P 4/m b m'
_symmetry_Int_Tables_number 127
_symmetry_space_group_name_Hall '-P 4 2ab'
_cell_length_a 8.117
_cell_length_b 8.117
_cell_length_c 4.596
_cell_angle_alpha 90.00
_cell_angle_beta 90.00
_cell_angle_gamma 90.00
loop_
_atom_site_label
_atom_site_fract_x
_atom_site_fract_y
_atom_site_fract_z
Tb1 0.153 0.347 0.000
Er1 0.148 0.648 0.500
In1 0.000 0.000 0.500


# LiTa3Bi5 | the Open Quantum Materials Database | PBE | optimized geometry
# total DFT energy (no corrections): -6.30 eV/atom
data_LiTa3Bi5
_chemical_formula_sum 'Li1 Ta3 Bi5'
_symmetry_space_group_name_H-M 'P 6/m m m'
_symmetry_Int_Tables_number 191
_symmetry_space_group_name_Hall '-P 6 2'
_cell_length_a 5.8321
_cell_length_b 5.8321
_cell_length_c 8.9407
_cell_angle_alpha 90.00
_cell_angle_beta 90.00
_cell_angle_gamma 120.00
loop_
_atom_site_label
_atom_site_fract_x
_atom_site_fract_y
_atom_site_fract_z
Li1 0.0000 0.0000 0.0000
Ta1 0.0000 0.5000 0.5000
Bi1 0.0000 0.0000 0.5000
Bi2 0.3333 0.6667 0.2168


# Al5Ni7 | the Open Quantum Materials Database | PBE | optimized geometry
# total DFT energy (no corrections): -4.95 eV/atom
data_Al5Ni7
_chemical_formula_sum 'Al10 Ni14'
_symmetry_space_group_name_H-M 'P 63/m m c'
_symmetry_Int_Tables_number 194
_symmetry_space_group_name_Hall '-P 6c 2c'
_cell_length_a 4.7679
_cell_length_b 4.7679
_cell_length_c 15.4191
_cell_angle_alpha 90.00
_cell_angle_beta 90.00
_cell_angle_gamma 120.00
loop_
_atom_site_label
_atom_site_fract_x
_atom_site_fract_y
_atom_site_fract_z
Al1 0.0000 0.0000 0.0877
Al2 0.1657 0.3313 0.2500
Ni1 0.0000 0.5000 0.0000
Ni2 0.3333 0.6667 0.1263
Ni3 0.3333 0.6667 0.6584


# GdNpCu | the Open Quantum Materials Database | PBE | optimized geometry
# total DFT energy (no corrections): -6.51 eV/atom
data_GdNpCu
_chemical_formula_sum 'Gd4 Np4 Cu4'
_symmetry_space_group_name_H-M 'F -4 3 m'
_symmetry_Int_Tables_number 216
_symmetry_space_group_name_Hall 'F -4 2 3'
_cell_length_a 6.800
_cell_length_b 6.800
_cell_length_c 6.800
_cell_angle_alpha 90.00
_cell_angle_beta 90.00
_cell_angle_gamma 90.00
loop_
_atom_site_label
_atom_site_fract_x
_atom_site_fract_y
_atom_site_fract_z
Gd1 0.000 0.000 0.000
Np1 0.000 0.000 0.500
Cu1 0.250 0.250 0.250


# GdSnBi | the Open Quantum Materials Database | PBE | optimized geometry
# total DFT energy (no corrections): -4.44 eV/atom
data_GdSnBi
_chemical_formula_sum 'Gd4 Sn4 Bi4'
_symmetry_space_group_name_H-M 'F -4 3 m'
_symmetry_Int_Tables_number 216
_symmetry_space_group_name_Hall 'F -4 2 3'
_cell_length_a 7.420
_cell_length_b 7.420
_cell_length_c 7.420
_cell_angle_alpha 90.00
_cell_angle_beta 90.00
_cell_angle_gamma 90.00
loop_
_atom_site_label
_atom_site_fract_x
_atom_site_fract_y
_atom_site_fract_z
Gd1 0.000 0.000 0.000
Sn1 0.250 0.250 0.250
Bi1 0.250 0.250 0.750


# InCu2Te2Se | the Open Quantum Materials Database | PBE | optimized geometry
# total DFT energy (no corrections): -3.57 eV/atom
data_InCu2Te2Se
_chemical_formula_sum 'In4 Cu8 Te8 Se4'
_symmetry_space_group_name_H-M 'C 1 c 1'
_symmetry_Int_Tables_number 9
_cell_length_a 7.331
_cell_length_b 12.690
_cell_length_c 7.325
_cell_angle_alpha 90.00
_cell_angle_beta 109.81
_cell_angle_gamma 90.00
loop_
_symmetry_equiv_pos_as_xyz
'x,y,z'
'x,-y,z+1/2'
'x+1/2,y+1/2,z'
'x+1/2,-y+1/2,z+1/2'
loop_
_atom_site_label
_atom_site_fract_x
_atom_site_fract_y
_atom_site_fract_z
In1 0.000 0.091 0.000
Cu1 0.458 0.072 0.468
Cu2 0.475 0.237 0.989
Te1 0.333 0.405 0.089
Te2 0.341 0.230 0.618
Se1 0.380 0.082 0.121


# BaZrBeNi | the Open Quantum Materials Database | PBE | optimized geometry
# total DFT energy (no corrections): -4.20 eV/atom
data_BaZrBeNi
_chemical_formula_sum 'Ba4 Zr4 Be4 Ni4'
_symmetry_space_group_name_H-M 'F -4 3 m'
_symmetry_Int_Tables_number 216
_symmetry_space_group_name_Hall 'F -4 2 3'
_cell_length_a 6.765
_cell_length_b 6.765
_cell_length_c 6.765
_cell_angle_alpha 90.00
_cell_angle_beta 90.00
_cell_angle_gamma 90.00
loop_
_atom_site_label
_atom_site_fract_x
_atom_site_fract_y
_atom_site_fract_z
Ba1 0.000 0.000 0.000
Zr1 0.250 0.250 0.250
Be1 0.000 0.000 0.500
Ni1 0.250 0.250 0.750


# LaUTl | the Open Quantum Materials Database | PBE | optimized geometry
# total DFT energy (no corrections): -5.55 eV/atom
data_LaUTl
_chemical_formula_sum 'La4 U4 Tl4'
_symmetry_space_group_name_H-M 'F -4 3 m'
_symmetry_Int_Tables_number 216
_symmetry_space_group_name_Hall 'F -4 2 3'
_cell_length_a 7.547
_cell_length_b 7.547
_cell_length_c 7.547
_cell_angle_alpha 90.00
_cell_angle_beta 90.00
_cell_angle_gamma 90.00
loop_
_atom_site_label
_atom_site_fract_x
_atom_site_fract_y
_atom_site_fract_z
La1 0.000 0.000 0.000
U1 0.000 0.000 0.500
Tl1 0.250 0.250 0.250


# NaSrNbNi | the Open Quantum Materials Database | PBE | optimized geometry
# total DFT energy (no corrections): -3.82 eV/atom
data_NaSrNbNi
_chemical_formula_sum 'Na4 Sr4 Nb4 Ni4'
_symmetry_space_group_name_H-M 'F -4 3 m'
_symmetry_Int_Tables_number 216
_symmetry_space_group_name_Hall 'F -4 2 3'
_cell_length_a 7.036
_cell_length_b 7.036
_cell_length_c 7.036
_cell_angle_alpha 90.00
_cell_angle_beta 90.00
_cell_angle_gamma 90.00
loop_
_atom_site_label
_atom_site_fract_x
_atom_site_fract_y
_atom_site_fract_z
Na1 0.000 0.000 0.000
Sr1 0.250 0.250 0.750
Nb1 0.250 0.250 0.250
Ni1 0.000 0.000 0.500


# Sm4B2Br3Cl2 | the Open Quantum Materials Database | PBE | optimized geometry
# total DFT energy (no corrections): -5.07 eV/atom
data_Sm4B2Br3Cl2
_chemical_formula_sum 'Sm8 B4 Br6 Cl4'
_symmetry_space_group_name_H-M 'C 1 2/m 1'
_symmetry_Int_Tables_number 12
_cell_length_a 20.153
_cell_length_b 3.933
_cell_length_c 8.157
_cell_angle_alpha 90.00
_cell_angle_beta 103.93
_cell_angle_gamma 90.00
loop_
_symmetry_equiv_pos_as_xyz
'x,y,z'
'-x,-y,-z'
'-x,y,-z'
'x,-y,z'
'x+1/2,y+1/2,z'
'-x+1/2,-y+1/2,-z'
'-x+1/2,y+1/2,-z'
'x+1/2,-y+1/2,z'
loop_
_atom_site_label
_atom_site_fract_x
_atom_site_fract_y
_atom_site_fract_z
Sm1 0.003 0.000 0.206
Sm2 0.161 0.500 0.110
B1 0.040 0.500 0.024
Br1 0.000 0.500 0.500
Br2 0.171 0.000 0.844
Cl1 0.160 0.000 0.347


# TaFe2Hg | the Open Quantum Materials Database | PBE | optimized geometry
# total DFT energy (no corrections): -6.77 eV/atom
data_TaFe2Hg
_chemical_formula_sum 'Ta4 Fe8 Hg4'
_symmetry_space_group_name_H-M 'F -4 3 m'
_symmetry_Int_Tables_number 216
_symmetry_space_group_name_Hall 'F -4 2 3'
_cell_length_a 6.291
_cell_length_b 6.291
_cell_length_c 6.291
_cell_angle_alpha 90.00
_cell_angle_beta 90.00
_cell_angle_gamma 90.00
loop_
_atom_site_label
_atom_site_fract_x
_atom_site_fract_y
_atom_site_fract_z
Ta1 0.000 0.000 0.000
Fe1 0.000 0.000 0.500
Fe2 0.250 0.250 0.750
Hg1 0.250 0.250 0.250


# SmFeSi3 | the Open Quantum Materials Database | PBE | optimized geometry
# total DFT energy (no corrections): -6.45 eV/atom
data_SmFeSi3
_chemical_formula_sum 'Sm2 Fe2 Si6'
_symmetry_space_group_name_H-M 'I 4 m m'
_symmetry_Int_Tables_number 107
_symmetry_space_group_name_Hall 'I 4 -2'
_cell_length_a 4.094
_cell_length_b 4.094
_cell_length_c 9.675
_cell_angle_alpha 90.00
_cell_angle_beta 90.00
_cell_angle_gamma 90.00
loop_
_atom_site_label
_atom_site_fract_x
_atom_site_fract_y
_atom_site_fract_z
Sm1 0.000 0.000 0.000
Fe1 0.000 0.000 0.658
Si1 0.000 0.000 0.429
Si2 0.000 0.500 0.256